(1)
First-principles (PBE) data for an optimized crystal structure of MgZrAs2, as listed in the Alexandria database.

```
MgZrAs2
1.0
-0.512 -4.456 1.332
-1.138 -0.373 -4.523
4.256 1.778 0.785
Mg As Zr
1 2 1
Cartesian
1.147 -0.505 -2.667 Mg
-0.825 -2.414 -1.595 As
0.000 0.000 0.000 As
1.460 -2.546 0.261 Zr
```

**Crystal system**: tetragonal
**Symmetry**: I4/mmm (139)
**Uncorrected energy**: -5.307 eV per atom
**DFT formation energy**: -43.1 kJ/mol of atoms

***

(2)
First-principles (PBE) data for an optimized crystal structure of Mg2ZrAs, as listed in the Alexandria database.

```
Mg2ZrAs
1.0
-0.370 -2.104 5.020
4.710 -1.660 2.194
-1.767 4.534 -2.466
Mg Zr As
2 1 1
Cartesian
0.017 0.274 3.080 Mg
0.000 0.000 0.000 Mg
2.170 -1.882 3.607 Zr
2.557 0.496 1.668 As
```

**Crystal system**: tetragonal
**Symmetry**: I-4m2 (119)
**Uncorrected energy**: -4.408 eV per atom
**DFT formation energy**: -30.0 kJ/mol of atoms

***

(3)
First-principles (PBE) data for an optimized crystal structure of Mg2ZrAs, as listed in the Alexandria database.

```
Mg2ZrAs
1.0
4.586 0.000 0.000
0.000 4.139 0.000
0.000 0.000 4.139
Mg Zr As
2 1 1
Cartesian
0.000 0.000 0.000 Mg
0.000 2.069 2.069 Mg
2.293 2.069 0.000 Zr
2.293 0.000 2.069 As
```

**Crystal system**: tetragonal
**Symmetry**: P4/mmm (123)
**Uncorrected energy**: -4.390 eV per atom
**DFT formation energy**: -28.3 kJ/mol of atoms

***

(4)
First-principles (PBE) data for an optimized crystal structure of Mg2ZrAs, as listed in the Alexandria database.

```
Mg2ZrAs
1.0
10.014 0.028 0.016
9.513 3.127 0.016
9.513 1.537 2.723
As Zr Mg
1 1 2
Cartesian
21.781 3.519 2.067 As
7.260 1.173 0.689 Zr
14.357 2.320 1.363 Mg
0.163 0.026 0.016 Mg
```

**Crystal system**: trigonal
**Symmetry**: R-3m (166)
**Uncorrected energy**: -4.156 eV per atom
**DFT formation energy**: -5.7 kJ/mol of atoms

***

(5)
First-principles (PBE) data for an optimized crystal structure of Mg2ZrAs, as listed in the Alexandria database.

```
Mg2ZrAs
1.0
3.357 0.000 0.000
0.000 3.357 0.000
0.000 0.000 7.340
Zr Mg As
1 2 1
Cartesian
1.679 1.679 1.835 Zr
0.000 0.000 3.926 Mg
0.000 0.000 7.085 Mg
1.679 1.679 5.505 As
```

**Crystal system**: tetragonal
**Symmetry**: P4/mmm (123)
**Uncorrected energy**: -4.212 eV per atom
**DFT formation energy**: -11.1 kJ/mol of atoms

***

(6)
First-principles (PBE) data for an optimized crystal structure of MgZrAs2, as listed in the Alexandria database.

```
MgZrAs2
1.0
-5.384 3.891 -1.262
-6.688 0.961 0.249
0.366 1.629 3.476
Zr As Mg
1 2 1
Cartesian
-8.179 4.842 2.329 Zr
-0.196 1.633 2.997 As
-3.187 1.948 1.026 As
-5.632 2.929 0.818 Mg
```

**Crystal system**: orthorhombic
**Symmetry**: Amm2 (38)
**Uncorrected energy**: -5.554 eV per atom
**DFT formation energy**: -66.9 kJ/mol of atoms

***

(7)
First-principles (PBE) data for an optimized crystal structure of Mg2ZrAs2, as listed in the Alexandria database.

```
Mg2ZrAs2
1.0
-6.245 3.498 1.043
-0.725 -3.215 6.439
1.911 2.914 1.670
As Mg Zr
4 4 2
Cartesian
-5.744 0.841 5.106 As
-4.213 1.793 1.692 As
-2.757 -1.510 5.790 As
-1.226 -0.558 2.376 As
-1.317 2.173 2.187 Mg
-4.579 3.304 3.946 Mg
-3.741 1.024 6.965 Mg
-0.479 -0.107 5.206 Mg
-3.485 0.141 3.741 Zr
0.000 0.000 0.000 Zr
```

**Crystal system**: tetragonal
**Symmetry**: P4/mbm (127)
**Uncorrected energy**: -4.763 eV per atom
**DFT formation energy**: -53.6 kJ/mol of atoms

***

(8)
First-principles (PBE) data for an optimized crystal structure of MgZrAs2, as listed in the Alexandria database.

```
MgZrAs2
1.0
-4.274 0.100 -4.420
4.412 -0.303 -4.273
-0.211 -6.101 -4.211
As Mg Zr
4 2 2
Cartesian
-2.203 -1.500 -4.380 As
-0.006 -4.756 -10.794 As
-0.138 -4.650 -6.388 As
2.201 -1.703 -4.244 As
2.135 -3.253 -6.415 Mg
0.069 -0.102 -4.346 Mg
-2.208 -3.051 -6.488 Zr
0.000 0.000 0.000 Zr
```

**Crystal system**: tetragonal
**Symmetry**: I-42d (122)
**Uncorrected energy**: -5.381 eV per atom
**DFT formation energy**: -50.2 kJ/mol of atoms

***

(9)
First-principles (PBE) data for an optimized crystal structure of Mg2ZrAs, as listed in the Alexandria database.

```
Mg2ZrAs
1.0
-4.197 1.722 -3.846
-5.818 -0.933 0.809
4.911 2.219 2.516
Zr Mg As
1 2 1
Cartesian
-2.147 2.168 -1.424 Zr
-0.202 0.016 -0.061 Mg
-4.806 0.379 -1.457 Mg
-2.957 0.840 0.903 As
```

**Crystal system**: orthorhombic
**Symmetry**: Immm (71)
**Uncorrected energy**: -4.463 eV per atom
**DFT formation energy**: -35.3 kJ/mol of atoms

***

(10)
First-principles (PBE) data for an optimized crystal structure of MgZr2As, as listed in the Alexandria database.

```
MgZr2As
1.0
-7.147 3.610 0.437
-7.372 1.674 -2.675
-7.999 0.041 0.553
Zr Mg As
2 1 1
Cartesian
-22.196 5.249 -1.660 Zr
-11.580 2.739 -0.866 Zr
-16.888 3.994 -1.263 Mg
-5.629 1.331 -0.421 As
```

**Crystal system**: trigonal
**Symmetry**: R-3m (166)
**Uncorrected energy**: -6.259 eV per atom
**Energy above the most stable polymorph in this dataset**: 0.32 eV/f.u.
**DFT formation energy**: -40.9 kJ/mol of atoms

***

(11)
First-principles (PBE) data for an optimized crystal structure of Mg2ZrAs, as listed in the Alexandria database.

```
Mg2ZrAs
1.0
3.670 0.000 0.000
0.000 3.670 0.000
0.000 0.000 6.126
Zr As Mg
1 1 2
Cartesian
0.000 0.000 3.235 Zr
1.835 1.835 4.358 As
1.835 1.835 1.552 Mg
0.000 0.000 0.043 Mg
```

**Crystal system**: tetragonal
**Symmetry**: P4mm (99)
**Uncorrected energy**: -4.481 eV per atom
**DFT formation energy**: -37.1 kJ/mol of atoms

***

(12)
First-principles (PBE) data for an optimized crystal structure of MgZrAs2, as listed in the Alexandria database.

```
MgZrAs2
1.0
3.880 0.000 0.000
0.000 3.881 -0.006
0.000 3.889 5.548
Zr Mg As
1 1 2
Cartesian
1.940 5.827 4.630 Zr
0.000 3.885 2.241 Mg
0.000 3.888 4.995 As
1.940 1.943 1.996 As
```

**Crystal system**: tetragonal
**Symmetry**: P4mm (99)
**Uncorrected energy**: -5.617 eV per atom
**DFT formation energy**: -73.0 kJ/mol of atoms

***

(13)
First-principles (PBE) data for an optimized crystal structure of MgZr2As, as listed in the Alexandria database.

```
MgZr2As
1.0
-1.217 0.257 3.518
-0.727 -3.660 0.016
5.547 -1.093 1.998
Zr As Mg
2 1 1
Cartesian
0.483 -1.988 2.291 Zr
0.020 -0.004 0.007 Zr
2.694 -0.531 0.971 As
3.180 -2.520 3.262 Mg
```

**Crystal system**: tetragonal
**Symmetry**: P4mm (99)
**Uncorrected energy**: -6.160 eV per atom
**Energy above the most stable polymorph in this dataset**: 0.71 eV/f.u.
**DFT formation energy**: -31.3 kJ/mol of atoms

***

(14)
First-principles (PBE) data for an optimized crystal structure of MgZrAs4, as listed in the Alexandria database.

```
MgZrAs4
1.0
2.061 -0.323 5.144
-1.925 3.359 3.977
-3.108 -2.062 4.110
As Zr Mg
4 1 1
Cartesian
-1.113 0.364 4.952 As
-2.081 2.053 6.952 As
-0.077 0.202 7.539 As
-2.676 -0.673 7.019 As
0.000 0.000 0.000 Zr
-2.230 0.730 9.923 Mg
```

**Crystal system**: cubic
**Symmetry**: F-43m (216)
**Uncorrected energy**: -4.684 eV per atom
**DFT formation energy**: 10.2 kJ/mol of atoms

***

(15)
First-principles (PBE) data for an optimized crystal structure of MgZr2As, as listed in the Alexandria database.

```
MgZr2As
1.0
3.216 0.007 0.000
-0.910 3.085 0.000
0.000 0.000 8.733
As Mg Zr
1 1 2
Cartesian
0.000 0.000 4.315 As
1.153 1.546 6.271 Mg
0.000 0.000 0.069 Zr
1.153 1.546 2.444 Zr
```

**Crystal system**: orthorhombic
**Symmetry**: Cmm2 (35)
**Uncorrected energy**: -6.106 eV per atom
**Energy above the most stable polymorph in this dataset**: 0.93 eV/f.u.
**DFT formation energy**: -26.1 kJ/mol of atoms

***

(16)
First-principles (PBE) data for an optimized crystal structure of MgZr2As, as listed in the Alexandria database.

```
MgZr2As
1.0
5.733 0.004 -0.002
4.656 3.345 -0.002
1.954 0.630 4.279
Zr Mg As
2 1 1
Cartesian
0.052 0.017 0.030 Zr
9.444 3.044 3.022 Zr
2.823 0.910 1.118 Mg
6.197 1.998 2.242 As
```

**Crystal system**: monoclinic
**Symmetry**: Cm (8)
**Uncorrected energy**: -6.178 eV per atom
**Energy above the most stable polymorph in this dataset**: 0.64 eV/f.u.
**DFT formation energy**: -33.1 kJ/mol of atoms

***

(17)
First-principles (PBE) data for an optimized crystal structure of Mg2ZrAs, as listed in the Alexandria database.

```
Mg2ZrAs
1.0
-4.920 3.040 -0.712
-0.004 -5.655 1.406
-0.819 0.242 2.895
Mg As Zr
2 1 1
Cartesian
-2.462 -1.308 0.347 Mg
0.000 0.000 0.000 Mg
-0.411 -2.706 2.150 As
-2.869 1.641 1.092 Zr
```

**Crystal system**: monoclinic
**Symmetry**: C2/m (12)
**Uncorrected energy**: -4.307 eV per atom
**DFT formation energy**: -20.3 kJ/mol of atoms

***

(18)
First-principles (PBE) data for an optimized crystal structure of Mg2ZrAs, as listed in the Alexandria database.

```
Mg2ZrAs
1.0
-0.380 3.796 0.281
-2.112 0.024 -3.190
-4.668 -0.696 3.085
Mg As Zr
2 1 1
Cartesian
-2.360 -0.352 1.560 Mg
-4.642 -0.692 3.068 Mg
-4.747 1.389 0.859 As
-2.413 1.736 -0.683 Zr
```

**Crystal system**: tetragonal
**Symmetry**: P4/mmm (123)
**Uncorrected energy**: -4.275 eV per atom
**DFT formation energy**: -17.2 kJ/mol of atoms

***

(19)
First-principles (PBE) data for an optimized crystal structure of MgZr3As4, as listed in the Alexandria database.

```
MgZr3As4
1.0
-3.775 0.226 -0.745
0.497 -5.317 -4.127
-1.363 -2.150 6.250
As Zr Mg
4 3 1
Cartesian
-0.214 -1.843 0.524 As
-2.788 -2.825 3.296 As
-1.853 -4.416 -1.918 As
-0.653 -5.623 1.599 As
0.248 -2.658 -2.063 Zr
-0.682 -1.075 3.125 Zr
-2.321 -3.620 0.689 Zr
-1.887 0.113 -0.373 Mg
```

**Crystal system**: orthorhombic
**Symmetry**: Cmmm (65)
**Uncorrected energy**: -6.675 eV per atom
**DFT formation energy**: -91.2 kJ/mol of atoms

***

(20)
First-principles (PBE) data for an optimized crystal structure of MgZr2As, as listed in the Alexandria database.

```
MgZr2As
1.0
-4.024 -0.282 -2.850
-0.397 -3.778 3.157
-1.688 1.988 2.176
Zr Mg As
2 1 1
Cartesian
-2.210 -2.030 0.153 Zr
0.000 0.000 0.000 Zr
-1.042 -0.895 2.666 Mg
-2.856 0.853 -0.337 As
```

**Crystal system**: monoclinic
**Symmetry**: C2/m (12)
**Uncorrected energy**: -6.148 eV per atom
**Energy above the most stable polymorph in this dataset**: 0.76 eV/f.u.
**DFT formation energy**: -30.2 kJ/mol of atoms